TcC2 | PBE | relaxed

Structure (POSCAR):
```
TcC2
1.0
3.4379 0.5076 -0.0943
-0.8835 3.2936 0.6762
-0.2702 -2.9100 1.8826
Tc C
1 2
direct
0.0000 0.0000 0.0000 Tc
0.3523 0.8523 0.5000 C
0.6477 0.1477 0.5000 C
```

Output
total magnetic moment: 0.0007 μB/atom
energy of formation from the pure elements: 0.932 eV/atom